Compound: SrMn2Pd2
Source: the Alexandria database
Functional: GGA-PBE
Structure: relaxed

Cell lengths 7.7999, 7.7999, 2.6999 Å; angles 90.00, 90.00, 90.00 degrees
Element x y z (fractional)
Sr: 0.0000 0.0000 0.0000
Sr: 0.5000 0.5000 0.0000
Mn: 0.1680 0.3320 0.5000
Mn: 0.3320 0.8320 0.5000
Mn: 0.6680 0.1680 0.5000
Mn: 0.8320 0.6680 0.5000
Pd: 0.1255 0.6255 0.0000
Pd: 0.3745 0.1255 0.0000
Pd: 0.6255 0.8745 0.0000
Pd: 0.8745 0.3745 0.0000

VASP energy	-5.54	eV/atom
relative energy among the computed polymorphs	205	meV/atom
E_form	0.55	eV per atom



Compound: TbPm2Y6
Source: the Alexandria database
Functional: GGA-PBE
Structure: relaxed

Cell lengths 9.6524, 9.6524, 6.5977 Å; angles 99.01, 99.01, 96.02 degrees
Element x y z (fractional)
Tb: 0.1181 0.8819 0.7500
Tb: 0.8819 0.1181 0.2500
Pm: 0.3349 0.3844 0.6277
Pm: 0.3844 0.3349 0.1277
Pm: 0.6156 0.6651 0.8723
Pm: 0.6651 0.6156 0.3723
Y: 0.0470 0.2216 0.8128
Y: 0.0602 0.4595 0.2725
Y: 0.2216 0.0470 0.3128
Y: 0.2757 0.6517 0.9954
Y: 0.3483 0.7243 0.5046
Y: 0.4595 0.0602 0.7725
Y: 0.5405 0.9398 0.2275
Y: 0.6517 0.2757 0.4954
Y: 0.7243 0.3483 0.0046
Y: 0.7784 0.9530 0.6872
Y: 0.9398 0.5405 0.7275
Y: 0.9530 0.7784 0.1872

VASP energy	-5.78	eV/atom
E_form	0.10	eV per atom



Compound: CaB2Rh
Source: the Alexandria database
Functional: GGA-PBE
Structure: relaxed

Cell lengths 4.1063, 4.1063, 4.1063 Å; angles 60.00, 60.00, 60.00 degrees
Element x y z (fractional)
Ca: 0.0000 0.0000 0.0000
B: 0.2500 0.2500 0.2500
B: 0.7500 0.7500 0.7500
Rh: 0.5000 0.5000 0.5000

VASP energy	-5.19	eV/atom
relative energy among the computed polymorphs	603	meV/atom
E_form	0.49	eV per atom



Compound: NiMoPS2
Source: the Alexandria database
Functional: GGA-PBE
Structure: relaxed

Cell lengths 4.4469, 4.4469, 4.2666 Å; angles 90.00, 90.00, 90.00 degrees
Element x y z (fractional)
Ni: 0.0000 0.0000 0.0000
Mo: 0.5000 0.5000 0.5000
P: 0.0000 0.0000 0.5000
S: 0.0000 0.5000 0.0000
S: 0.5000 0.0000 0.0000

VASP energy	-5.35	eV/atom
E_form (uncorrected)	0.707	eV per atom
relative energy among the computed polymorphs	19	meV/atom